Record 1
Compound: BeNbBOs
Source: OQMD via LeMat-Bulk
Functional: PBE
Structure: relaxed

* VASP energy: -7.89 eV/atom
* crystal system: cubic
* space group: F-43m, No. 216

Cell lengths 4.0112, 4.0112, 4.0112 Å; angles 60.00, 60.00, 60.00 degrees
Fractional coordinates of all 4 atoms:
B  0.2500  0.2500  0.2500
Be  0.7500  0.7500  0.7500
Nb  0.5000  0.5000  0.5000
Os  0.0000  0.0000  0.0000



Record 2
Compound: BeNbBOs
Source: OQMD via LeMat-Bulk
Functional: PBE
Structure: relaxed

* VASP energy: -7.56 eV/atom
* crystal system: cubic
* space group: F-43m, No. 216

Cell lengths 4.1352, 4.1352, 4.1352 Å; angles 60.00, 60.00, 60.00 degrees
Fractional coordinates of all 4 atoms:
B  0.5000  0.5000  0.5000
Be  0.7500  0.7500  0.7500
Nb  0.2500  0.2500  0.2500
Os  0.0000  0.0000  0.0000



Record 3
Compound: NdBeB
Source: OQMD via LeMat-Bulk
Functional: PBE
Structure: relaxed

* VASP energy: -4.85 eV/atom
* crystal system: cubic
* space group: F-43m, No. 216

Cell lengths 4.1764, 4.1764, 4.1764 Å; angles 60.00, 60.00, 60.00 degrees
Fractional coordinates of all 3 atoms:
B  0.0000  0.0000  0.0000
Be  0.2500  0.2500  0.2500
Nd  0.7500  0.7500  0.7500



Record 4
Compound: BeNi2B
Source: OQMD via LeMat-Bulk
Functional: PBE
Structure: relaxed

* VASP energy: -5.29 eV/atom
* crystal system: cubic
* space group: F-43m, No. 216

Cell lengths 3.6837, 3.6837, 3.6837 Å; angles 60.00, 60.00, 60.00 degrees
Fractional coordinates of all 4 atoms:
B  0.2500  0.2500  0.2500
Be  0.0000  0.0000  0.0000
Ni  0.5000  0.5000  0.5000
Ni  0.7500  0.7500  0.7500



Record 5
Compound: BeNiB4
Source: OQMD via LeMat-Bulk
Functional: PBE
Structure: relaxed

* VASP energy: -5.89 eV/atom
* crystal system: hexagonal
* space group: P6/mmm, No. 191

Cell lengths 2.9356, 2.9356, 6.0204 Å; angles 90.00, 90.00, 120.00 degrees
Fractional coordinates of all 6 atoms:
B  0.6667  0.3333  0.2332
B  0.3333  0.6667  0.2332
B  0.6667  0.3333  0.7668
B  0.3333  0.6667  0.7668
Be  0.0000  0.0000  0.0000
Ni  0.0000  0.0000  0.5000



Record 6
Compound: BeNiB2
Source: OQMD via LeMat-Bulk
Functional: PBE
Structure: relaxed

* VASP energy: -5.18 eV/atom
* crystal system: cubic
* space group: F-43m, No. 216

Cell lengths 3.4510, 3.4510, 3.4510 Å; angles 60.00, 60.00, 60.00 degrees
Fractional coordinates of all 4 atoms:
B  0.5000  0.5000  0.5000
B  0.7500  0.7500  0.7500
Be  0.2500  0.2500  0.2500
Ni  0.0000  0.0000  0.0000